# 1
CaCdGe4, optimized geometry, DFT PBE; space-group type = F-43m, No. 216; ΔH_f (0 K) = -92 meV/atom; D(E_F) = 0.5847 states/eV per atom; V = 21.55 Å³/atom
1.0
0.0000 4.0134 4.0134
4.0134 0.0000 4.0134
4.0134 4.0134 0.0000
Ca Cd Ge
1 1 4
direct
0.0000 0.0000 0.0000
0.7500 0.7500 0.7500
0.3755 0.3755 0.3755
0.3755 0.3755 0.8735
0.3755 0.8735 0.3755
0.8735 0.3755 0.3755



# 2
CaLa2TlTc, optimized geometry, DFT PBE; space-group type = P4/mmm, No. 123; ΔH_f (0 K) = -20 meV/atom; D(E_F) = 0.8987 states/eV per atom; V = 32.66 Å³/atom; energy above the lowest structure with this stoichiometry = 4.0 meV per atom
1.0
5.3941 0.0000 0.0000
0.0000 5.3941 0.0000
0.0000 0.0000 5.6125
Ca La Tl Tc
1 2 1 1
direct
0.0000 0.0000 0.0000
0.0000 0.5000 0.5000
0.5000 0.0000 0.5000
0.5000 0.5000 0.0000
0.5000 0.5000 0.5000



# 3
Tb3ReO7, optimized geometry, DFT PBE; E = -185.94 eV for the cell shown; space-group type = Cmcm, No. 63; D(E_F) = 0.3075 states/eV per atom; V = 13.43 Å³/atom
1.0
5.3128 -3.7256 0.0000
5.3128 3.7256 0.0000
0.0000 0.0000 7.4623
Tb Re O
6 2 14
direct
0.0000 0.0000 0.0000
0.0000 0.0000 0.5000
0.0520 0.4816 0.7500
0.4816 0.0520 0.2500
0.5184 0.9480 0.7500
0.9480 0.5184 0.2500
0.5000 0.5000 0.0000
0.5000 0.5000 0.5000
0.1133 0.1537 0.2500
0.1537 0.1133 0.7500
0.1770 0.5694 0.0279
0.1770 0.5694 0.4721
0.4306 0.8230 0.0279
0.4306 0.8230 0.4721
0.4522 0.5478 0.7500
0.5478 0.4522 0.2500
0.5694 0.1770 0.5279
0.5694 0.1770 0.9721
0.8230 0.4306 0.5279
0.8230 0.4306 0.9721
0.8463 0.8867 0.2500
0.8867 0.8463 0.7500



# 4
Re2BW, optimized geometry, DFT PBE; space-group type = Cmcm, No. 63; ΔH_f (0 K) = -230 meV/atom; D(E_F) = 0.4661 states/eV per atom; V = 12.86 Å³/atom
1.0
2.9967 0.0000 0.0000
0.0000 9.3511 0.0000
0.0000 0.0000 7.3446
Re B W
8 4 4
direct
0.0000 0.1377 0.0580
0.0000 0.1377 0.4420
0.0000 0.8623 0.5580
0.0000 0.8623 0.9420
0.5000 0.3623 0.5580
0.5000 0.3623 0.9420
0.5000 0.6377 0.0580
0.5000 0.6377 0.4420
0.0000 0.2626 0.7500
0.0000 0.7374 0.2500
0.5000 0.2374 0.2500
0.5000 0.7626 0.7500
0.0000 0.4287 0.2500
0.0000 0.5713 0.7500
0.5000 0.0713 0.7500
0.5000 0.9287 0.2500



What is the D(E_F) in the third record?
0.3075 states/eV per atom



Copy entry 1 word for word.
CaCdGe4, optimized geometry, DFT PBE; space-group type = F-43m, No. 216; ΔH_f (0 K) = -92 meV/atom; D(E_F) = 0.5847 states/eV per atom; V = 21.55 Å³/atom
1.0
0.0000 4.0134 4.0134
4.0134 0.0000 4.0134
4.0134 4.0134 0.0000
Ca Cd Ge
1 1 4
direct
0.0000 0.0000 0.0000
0.7500 0.7500 0.7500
0.3755 0.3755 0.3755
0.3755 0.3755 0.8735
0.3755 0.8735 0.3755
0.8735 0.3755 0.3755



What is the formula in the third record?
Tb3ReO7



Among the records above, which one has the highest V?
CaLa2TlTc